Density functional theory data (GGA+U) for a geometry-optimized CsCrFeF6 structure.

Output
Calculated density: 3.94 g cm⁻³
E above lowest polymorph: 0 meV per atom

a = 7.433 Å, b = 7.517 Å, c = 10.715 Å
α = 90.00°, β = 90.00°, γ = 90.00°
Space group Imma (No. 74)
Unique sites:
Cs  0.000  0.250  0.123 [4 per cell]
Cr  0.000  0.000  0.500 [4 per cell]
Fe  0.250  0.250  0.750 [4 per cell]
F  0.000  0.250  0.445 [4 per cell]
F  0.000  0.250  0.826 [4 per cell]
F  0.187  0.042  0.623 [16 per cell]